# 1
The following is a DFT calculation (GGA-PBE) of an optimized crystal structure of BaCa2TlPd.

abc: 5.5992 5.5992 5.4835
angles: 90.00 90.00 90.00
Closest atoms and distances in Å follow each position.
Positions (direct):
Ca: 0.0000 0.5000 0.0000  2 Pd 2.80
Ca: 0.5000 0.0000 0.0000  2 Pd 2.80
Ba: 0.5000 0.5000 0.5000  8 Ca 3.92, 4 Tl 3.96
Tl: 0.0000 0.0000 0.5000  2 Pd 2.74
Pd: 0.0000 0.0000 0.0000  2 Tl 2.74, 4 Ca 2.80

Summary:
Formation enthalpy at 0 K ... -338 meV per atom
SG ... P4/mmm, No. 123
Excess energy over the best structure of this formula in the dataset ... 0 kJ/mol of formula units
Total magnetization ... 0.0 μB per formula unit

***

# 2
The following is a DFT calculation (GGA-PBE) of an optimized crystal structure of ErTm2Tl4.

abc: 6.4188 6.4188 6.4188
angles: 109.56 109.43 109.43
Closest atoms and distances in Å follow each position.
Positions (direct):
Tm: 0.5000 0.5000 0.0000  8 Tl 3.21
Tm: 0.5000 0.0000 0.5000  8 Tl 3.21
Tl: 0.5000 0.5000 0.5000  4 Tm 3.21, 2 Er 3.21
Tl: 0.0000 0.5000 0.0000  2 Er 3.21, 4 Tm 3.21
Tl: 0.0000 0.0000 0.5000  2 Er 3.21, 4 Tm 3.21
Tl: 0.5000 0.0000 0.0000  4 Tm 3.21, 2 Er 3.21
Er: 0.0000 0.0000 0.0000  8 Tl 3.21

Summary:
Formation enthalpy at 0 K ... -201 meV per atom
SG ... I4/mmm, No. 139
Excess energy over the best structure of this formula in the dataset ... 0 kJ/mol of formula units
Total magnetization ... 0.0 μB per formula unit